[1]
Entry from OQMD: a geometry-optimized CoH9C3N6 structure (PBE). Values from VASP.

Calculated values
The size of the total moment is 0.0 Bohr magnetons per cell. For the uncorrected energy, the calculation gives -6.19 eV per atom.

Cell and atoms, written as Quantum ESPRESSO input:
```
&SYSTEM
  ibrav = 0, nat = 38, ntyp = 4
/
ATOMIC_SPECIES
H 1.01 H.upf
Co 58.93 Co.upf
N 14.01 N.upf
C 12.01 C.upf
CELL_PARAMETERS angstrom
-4.9407 5.0972 0.3955
5.5765 4.2119 -1.3083
-1.2544 -1.9903 -6.7092
ATOMIC_POSITIONS crystal
H 0.2400 0.2705 0.6020
H 0.1957 0.6534 0.4492
H 0.7295 0.3980 0.7600
H 0.6020 0.2400 0.2705
H 0.6534 0.4492 0.1957
H 0.4319 0.3352 0.1537
H 0.2705 0.6020 0.2400
H 0.3466 0.5508 0.8043
H 0.7600 0.7295 0.3980
H 0.1537 0.4319 0.3352
H 0.8463 0.5681 0.6648
H 0.4492 0.1957 0.6534
H 0.3352 0.1537 0.4319
H 0.5681 0.6648 0.8463
H 0.3980 0.7600 0.7295
H 0.5508 0.8043 0.3466
H 0.6648 0.8463 0.5681
H 0.8043 0.3466 0.5508
Co 0.0000 0.0000 0.0000
Co 0.5000 0.5000 0.5000
N 0.2009 0.3788 0.9227
N 0.6212 0.0773 0.7991
N 0.9227 0.2009 0.3788
N 0.0773 0.7991 0.6212
N 0.7438 0.4478 0.6328
N 0.2562 0.5522 0.3672
N 0.7991 0.6212 0.0773
N 0.5522 0.3672 0.2562
N 0.3672 0.2562 0.5522
N 0.4478 0.6328 0.7438
N 0.6328 0.7438 0.4478
N 0.3788 0.9227 0.2009
C 0.9498 0.1211 0.2316
C 0.7684 0.0502 0.8789
C 0.1211 0.2316 0.9498
C 0.0502 0.8789 0.7684
C 0.8789 0.7684 0.0502
C 0.2316 0.9498 0.1211
```

***

[2]
Entry from OQMD: a geometry-optimized CoH3C6N6 structure (PBE). Values from VASP.

Calculated values
The size of the total moment is 0.0 Bohr magnetons per cell. For the uncorrected energy, the calculation gives -7.35 eV per atom.

Cell and atoms, written as Quantum ESPRESSO input:
```
&SYSTEM
  ibrav = 0, nat = 16, ntyp = 4
/
ATOMIC_SPECIES
H 1.01 H.upf
C 12.01 C.upf
N 14.01 N.upf
Co 58.93 Co.upf
CELL_PARAMETERS angstrom
6.3548 0.0000 0.0000
-3.1774 5.5034 0.0000
0.0000 0.0000 5.6176
ATOMIC_POSITIONS crystal
H 0.5000 0.0000 0.5000
H 0.0000 0.5000 0.5000
H 0.5000 0.5000 0.5000
C 0.7629 0.7629 0.1930
C 0.2371 0.0000 0.1930
C 0.0000 0.2371 0.1930
C 0.0000 0.7629 0.8070
C 0.2371 0.2371 0.8070
C 0.7629 0.0000 0.8070
N 0.3824 0.0000 0.3196
N 0.6176 0.6176 0.3196
N 0.6176 0.0000 0.6804
N 0.3824 0.3824 0.6804
N 0.0000 0.3824 0.3196
N 0.0000 0.6176 0.6804
Co 0.0000 0.0000 0.0000
```

***

> What is the size of the total moment in the first record?

0.0 Bohr magnetons per cell